(1)
A plane-wave DFT calculation with PBE was carried out for a relaxed structure of ZnInCu2.

Calculated total energy in eV per atom: -2.946
V in Å³/atom: 15.7
SG: C2/m, No. 12
Calculated formation energy in eV/atom: 0.1056
Total magnetization in μB per formula unit: 0.00

Cell: 4.618 4.618 5.023 Å, 78.95 78.95 36.75°
Positions (direct):
In  0.750  0.750  0.750
Zn  0.250  0.250  0.250
Cu  0.993  0.993  0.034
Cu  0.507  0.507  0.466



(2)
A plane-wave DFT calculation with PBE was carried out for a relaxed structure of Zn2InCu.

Calculated total energy in eV per atom: -2.278
V in Å³/atom: 17.0
SG: C2/m, No. 12
Calculated formation energy in eV/atom: 0.0679
Total magnetization in μB per formula unit: 0.00

Cell: 4.720 4.720 4.633 Å, 79.11 79.11 42.30°
Positions (direct):
In  0.250  0.250  0.250
Zn  0.488  0.488  0.542
Zn  0.012  0.012  0.958
Cu  0.750  0.750  0.750



(3)
A plane-wave DFT calculation with PBE was carried out for a relaxed structure of Zn2InCu.

Calculated total energy in eV per atom: -2.212
V in Å³/atom: 17.3
SG: R3m, No. 160
Calculated formation energy in eV/atom: 0.1335
Total magnetization in μB per formula unit: 0.00

Cell: 8.684 8.684 8.684 Å, 20.32 20.32 20.32°
Positions (direct):
Zn  0.994  0.994  0.994
Zn  0.246  0.246  0.246
In  0.754  0.754  0.754
Cu  0.506  0.506  0.506



(4)
A plane-wave DFT calculation with PBE was carried out for a relaxed structure of Zn8InCu4.

Calculated total energy in eV per atom: -2.285
V in Å³/atom: 14.9
SG: I4/mmm, No. 139
Calculated formation energy in eV/atom: -0.0297
Total magnetization in μB per formula unit: 0.00

Cell: 5.080 6.675 6.675 Å, 81.67 67.63 67.63°
Positions (direct):
Zn  0.346  0.654  0.654
Zn  0.500  0.224  0.776
Zn  0.276  0.224  0.224
Zn  0.000  0.346  0.654
Zn  0.724  0.776  0.776
Zn  0.654  0.346  0.346
Zn  0.500  0.776  0.224
Zn  0.000  0.654  0.346
Cu  0.500  0.000  0.500
Cu  0.500  0.500  0.000
Cu  0.000  0.000  0.500
Cu  0.000  0.500  0.000
In  0.000  0.000  0.000



(5)
A plane-wave DFT calculation with PBE was carried out for a relaxed structure of ZnInCu6.

Calculated total energy in eV per atom: -3.580
V in Å³/atom: 13.5
Energy above the most stable polymorph in this dataset in meV per atom: 7
SG: Amm2, No. 38
Calculated formation energy in eV/atom: -0.0065
Total magnetization in μB per formula unit: 0.00

Cell: 4.326 5.272 5.272 Å, 116.47 90.00 90.00°
Positions (direct):
Cu  0.500  0.910  0.090
Cu  0.000  0.594  0.406
Cu  0.500  0.906  0.584
Cu  0.000  0.605  0.932
Cu  0.500  0.416  0.094
Cu  0.000  0.068  0.395
Zn  0.000  0.092  0.908
In  0.500  0.408  0.592



(6)
A plane-wave DFT calculation with PBE was carried out for a relaxed structure of ZnInCu2.

Calculated total energy in eV per atom: -2.941
V in Å³/atom: 15.2
SG: F-43m, No. 216
Calculated formation energy in eV/atom: 0.1104
Total magnetization in μB per formula unit: 0.00

Cell: 4.416 4.416 4.416 Å, 60.00 60.00 60.00°
Positions (direct):
In  0.500  0.500  0.500
Zn  0.750  0.750  0.750
Cu  0.250  0.250  0.250
Cu  0.000  0.000  0.000